DFT (PBE) results for a relaxed structure of LiTc2Os.

## Properties
E = -32.425 eV per formula unit
energy of formation = 140 kJ/mol of formula units
density of states at the Fermi level = 1.13 states/eV per atom
energy above the most stable polymorph in this dataset = 19.3 kJ per mole of atoms
symmetry = No. 10

a = 4.726 Å, b = 2.707 Å, c = 4.811 Å
α = 90.00°, β = 114.15°, γ = 90.00°
Positions (direct):
Li: 0.000 0.000 0.000
Tc: 0.000 0.500 0.500
Tc: 0.500 0.000 0.500
Os: 0.500 0.500 0.000